Entry 1:
# NiIrRu2 (PBE, optimized geometry)
data_NiIrRu2
_chemical_formula_sum 'Ni2 Ir2 Ru4'
_cell_length_a 2.7816
_cell_length_b 4.3198
_cell_length_c 9.0001
_cell_angle_alpha 90.00
_cell_angle_beta 90.00
_cell_angle_gamma 90.00
_symmetry_space_group_name_H-M 'I m m m'
_symmetry_Int_Tables_number 71
_symmetry_space_group_name_Hall '-I 2 2'
loop_
_atom_site_label
_atom_site_fract_x
_atom_site_fract_y
_atom_site_fract_z
_atom_site_occupancy
Ni1 0.0000 0.0000 0.0000 1
Ir1 0.0000 0.0000 0.5000 1
Ru1 0.0000 0.5000 0.2758 1
# ΔE to the lowest computed polymorph ... 90 kJ/mol of formula units
# Size of the total moment ... 0.00 μB per cell


Entry 2:
# Rb2NaGaAs (PBE, optimized geometry)
data_Rb2NaGaAs
_chemical_formula_sum 'Rb2 Na1 Ga1 As1'
_cell_length_a 6.3712
_cell_length_b 6.3712
_cell_length_c 5.1731
_cell_angle_alpha 90.00
_cell_angle_beta 90.00
_cell_angle_gamma 90.00
_symmetry_space_group_name_H-M 'P 4/m m m'
_symmetry_Int_Tables_number 123
_symmetry_space_group_name_Hall '-P 4 2'
loop_
_atom_site_label
_atom_site_fract_x
_atom_site_fract_y
_atom_site_fract_z
_atom_site_occupancy
Rb1 0.0000 0.5000 0.0000 1
Na1 0.0000 0.0000 0.0000 1
Ga1 0.5000 0.5000 0.5000 1
As1 0.0000 0.0000 0.5000 1
# VASP energy ... -1.9724 eV/atom
# Size of the total moment ... 0.00 μB per cell